[1]
The following is a GGA-PBE calculation of a geometry-optimized CaYMg2Ni structure, from Alexandria.

POSCAR file:
```
CaYMg2Ni
1.0
5.1057 0.0000 0.0000
0.0000 5.1057 0.0000
0.0000 0.0000 5.0238
Ca Y Mg Ni
1 1 2 1
Direct
0.0000 0.0000 0.0000 Ca
0.5000 0.5000 0.0000 Y
0.0000 0.5000 0.5000 Mg
0.5000 0.0000 0.5000 Mg
0.5000 0.5000 0.5000 Ni
```

raw total energy	-3.59	eV per atom
spin magnetization	0.00	μB per formula unit
density of states at the Fermi level	2.56	states/eV per cell
space group	P4/mmm
calculated density	3.00	g cm⁻³

[2]
The following is a GGA-PBE calculation of a geometry-optimized PdCSeBr2 structure, from Alexandria.

POSCAR file:
```
PdCSeBr2
1.0
5.1512 0.0000 0.0000
0.0000 5.1512 0.0000
0.0000 0.0000 4.9336
Pd C Se Br
1 1 1 2
Direct
0.0000 0.0000 0.0000 Pd
0.5000 0.5000 0.5000 C
0.0000 0.0000 0.5000 Se
0.0000 0.5000 0.0000 Br
0.5000 0.0000 0.0000 Br
```

raw total energy	-2.72	eV per atom
offset from the most stable computed form	0.265	eV/atom
spin magnetization	0.28	μB per formula unit
density of states at the Fermi level	4.94	states/eV per cell
space group	P4/mmm
calculated density	4.53	g cm⁻³
formation energy without anion corrections	1.532	eV per atom

[3]
The following is a GGA-PBE calculation of a geometry-optimized Al2WAu structure, from Alexandria.

POSCAR file:
```
Al2WAu
1.0
3.4028 0.0000 0.0000
0.0000 4.5217 0.0000
0.0000 0.0000 8.3461
Al W Au
4 2 2
Direct
0.0000 0.0000 0.2448 Al
0.0000 0.0000 0.7552 Al
0.5000 0.5000 0.2448 Al
0.5000 0.5000 0.7552 Al
0.0000 0.5000 0.0000 W
0.5000 0.0000 0.0000 W
0.0000 0.5000 0.5000 Au
0.5000 0.0000 0.5000 Au
```

raw total energy	-5.98	eV per atom
offset from the most stable computed form	0.079	eV/atom
spin magnetization	0.00	μB per formula unit
density of states at the Fermi level	4.12	states/eV per cell
space group	Cmmm
calculated density	11.24	g cm⁻³

[4]
The following is a GGA-PBE calculation of a geometry-optimized AcSb2Pt6 structure, from Alexandria.

POSCAR file:
```
AcSb2Pt6
1.0
5.7394 0.0000 0.0000
-2.8697 4.9705 0.0000
0.0000 0.0000 7.0523
Ac Sb Pt
1 2 6
Direct
0.0000 0.0000 0.0000 Ac
0.3333 0.6667 0.5000 Sb
0.6667 0.3333 0.5000 Sb
0.0000 0.5000 0.1990 Pt
0.0000 0.5000 0.8010 Pt
0.5000 0.0000 0.1990 Pt
0.5000 0.0000 0.8010 Pt
0.5000 0.5000 0.1990 Pt
0.5000 0.5000 0.8010 Pt
```

raw total energy	-5.92	eV per atom
spin magnetization	0.00	μB per formula unit
density of states at the Fermi level	3.63	states/eV per cell
space group	P6/mmm
calculated density	13.54	g cm⁻³
formation energy without anion corrections	-0.516	eV per atom

[5]
The following is a GGA-PBE calculation of a geometry-optimized Pu2Si3SbPt4 structure, from Alexandria.

POSCAR file:
```
Pu2Si3SbPt4
1.0
4.3183 0.0000 0.0000
0.0000 4.3183 0.0000
0.0000 0.0000 10.1690
Pu Si Sb Pt
2 3 1 4
Direct
0.0000 0.5000 0.2422 Pu
0.5000 0.0000 0.7578 Pu
0.0000 0.5000 0.8777 Si
0.5000 0.0000 0.1223 Si
0.5000 0.5000 0.5000 Si
0.0000 0.0000 0.5000 Sb
0.0000 0.0000 0.0000 Pt
0.0000 0.5000 0.6445 Pt
0.5000 0.0000 0.3555 Pt
0.5000 0.5000 0.0000 Pt
```

raw total energy	-8.07	eV per atom
spin magnetization	11.01	μB per formula unit
density of states at the Fermi level	29.78	states/eV per cell
space group	P-4m2
calculated density	12.91	g cm⁻³
formation energy without anion corrections	-0.751	eV per atom

[6]
The following is a GGA-PBE calculation of a geometry-optimized Na2ZrUTe4 structure, from Alexandria.

POSCAR file:
```
Na2ZrUTe4
1.0
7.3313 0.0000 0.0000
0.0000 4.2413 0.0000
-2.4348 0.0000 7.7860
Na Zr U Te
2 1 1 4
Direct
0.0000 0.0000 0.0000 Na
0.5000 0.5000 0.0000 Na
0.0000 0.5000 0.5000 Zr
0.5000 0.0000 0.5000 U
0.2319 0.0000 0.7280 Te
0.2429 0.5000 0.2647 Te
0.7571 0.5000 0.7353 Te
0.7681 0.0000 0.2720 Te
```

raw total energy	-5.22	eV per atom
spin magnetization	3.55	μB per formula unit
density of states at the Fermi level	5.35	states/eV per cell
space group	P2/m
calculated density	6.07	g cm⁻³
formation energy without anion corrections	-0.835	eV per atom

[7]
The following is a GGA-PBE calculation of a geometry-optimized Sr2PmAg2S4 structure, from Alexandria.

POSCAR file:
```
Sr2PmAg2S4
1.0
7.7161 -1.9815 0.0000
7.7161 1.9815 0.0000
-3.2912 0.0000 6.9469
Sr Pm Ag S
2 1 2 4
Direct
0.1359 0.1359 0.0760 Sr
0.8641 0.8641 0.9240 Sr
0.0000 0.0000 0.5000 Pm
0.3149 0.3149 0.4876 Ag
0.6851 0.6851 0.5124 Ag
0.1984 0.1984 0.7568 S
0.4858 0.4858 0.7617 S
0.5142 0.5142 0.2383 S
0.8016 0.8016 0.2432 S
```

raw total energy	-4.71	eV per atom
spin magnetization	0.00	μB per formula unit
density of states at the Fermi level	2.02	states/eV per cell
space group	C2/m
calculated density	5.19	g cm⁻³
formation energy without anion corrections	-1.337	eV per atom

[8]
The following is a GGA-PBE calculation of a geometry-optimized AgSb structure, from Alexandria.

POSCAR file:
```
AgSb
1.0
4.6177 0.0000 0.0000
-2.3089 3.9991 0.0000
0.0000 0.0000 15.6913
Ag Sb
6 6
Direct
0.0000 0.0000 0.1376 Ag
0.0000 0.0000 0.8624 Ag
0.3333 0.6667 0.5291 Ag
0.3333 0.6667 0.8042 Ag
0.6667 0.3333 0.1958 Ag
0.6667 0.3333 0.4709 Ag
0.0000 0.0000 0.3946 Sb
0.0000 0.0000 0.6054 Sb
0.3333 0.6667 0.0613 Sb
0.3333 0.6667 0.2720 Sb
0.6667 0.3333 0.7280 Sb
0.6667 0.3333 0.9387 Sb
```

raw total energy	-3.32	eV per atom
offset from the most stable computed form	0.086	eV/atom
spin magnetization	0.00	μB per formula unit
density of states at the Fermi level	2.89	states/eV per cell
space group	R-3m
calculated density	7.90	g cm⁻³
formation energy without anion corrections	0.166	eV per atom